Below is crystalline Tb3Nd3Tm4 at its relaxed geometry, with properties calculated at the PBE-GGA level.

Cell and atoms, written as POSCAR:
```
Tb3Nd3Tm4
1.0
-3.539 -0.921 -0.162
0.824 -1.532 -9.300
2.268 -9.022 1.723
Tb Nd Tm
3 3 4
Direct
0.000 0.496 0.998 Tb
0.000 0.002 0.504 Tb
0.500 0.175 0.825 Tb
0.500 0.826 0.174 Nd
0.500 0.325 0.326 Nd
0.500 0.674 0.675 Nd
0.000 0.624 0.376 Tm
0.000 0.375 0.625 Tm
0.000 0.879 0.875 Tm
0.000 0.125 0.121 Tm
```

Properties
Formation enthalpy at 0 K: 0.093 eV per atom
D(E_F): 8.08 states/eV/cell
E_tot: -4.52 eV per atom